Entry a
Compound: Tb3Pm6Pr
Source: Alexandria
Functional: PBE-GGA
Structure: relaxed

Cell lengths 6.3665, 11.1199, 11.1199 Å; angles 120.44, 90.00, 90.00 degrees
With the nearest neighbours (Å) after each atom.
Atoms (fractional coordinates):
Pm 0.8742 0.4728 0.0554  2 Pm 3.13-3.51, 1 Pr 3.29, 2 Tb 3.32-3.50
Pm 0.0496 0.7090 0.6275  4 Tb 3.47-3.77, 5 Pm 3.51-3.84
Tb 0.4627 0.2902 0.0584  1 Pr 3.32, 6 Pm 3.32-3.58, 1 Tb 3.68
Pr 0.1082 0.1931 0.8069  6 Pm 3.29-3.64, 2 Tb 3.32
Pm 0.5496 0.2910 0.3725  4 Tb 3.47-3.77, 5 Pm 3.51-3.84
Pm 0.3707 0.9637 0.0363  1 Pr 3.38, 2 Pm 3.48, 4 Tb 3.56-3.58
Tb 0.9627 0.7098 0.9416  1 Pr 3.32, 6 Pm 3.32-3.58, 1 Tb 3.68
Tb 0.4627 0.9416 0.7098  1 Pr 3.32, 6 Pm 3.32-3.58, 1 Tb 3.68
Pm 0.1458 0.7191 0.2809  2 Pm 3.13, 1 Pr 3.40, 1 Tb 3.45
Pm 0.8742 0.9446 0.5272  2 Pm 3.13-3.51, 1 Pr 3.29, 2 Tb 3.32-3.50
Pm 0.6458 0.2809 0.7191  2 Pm 3.13, 1 Pr 3.40, 1 Tb 3.45
Tb 0.5877 0.6160 0.3840  7 Pm 3.45-3.77, 2 Tb 3.68, 1 Pr 3.69
Pm 0.3742 0.0554 0.4728  2 Pm 3.13-3.51, 1 Pr 3.29, 2 Tb 3.32-3.50
Pm 0.3742 0.5272 0.9446  2 Pm 3.13-3.51, 1 Pr 3.29, 2 Tb 3.32-3.50
Pm 0.0496 0.3725 0.2910  4 Tb 3.47-3.77, 5 Pm 3.51-3.84
Tb 0.0877 0.3840 0.6160  7 Pm 3.45-3.77, 2 Tb 3.68, 1 Pr 3.69
Tb 0.9627 0.0584 0.2902  1 Pr 3.32, 6 Pm 3.32-3.58, 1 Tb 3.68
Pr 0.6082 0.8069 0.1931  6 Pm 3.29-3.64, 2 Tb 3.32
Pm 0.8707 0.0363 0.9637  1 Pr 3.38, 2 Pm 3.48, 4 Tb 3.56-3.58
Pm 0.5496 0.6275 0.7090  4 Tb 3.47-3.77, 5 Pm 3.51-3.84

Values from the calculation:
ρ, g/cm3: 7.28
DOS(E_F), states/eV per cell: 28.6
Symmetry: Cmc2_1


Entry b
Compound: Tb3Pm6Pr
Source: Alexandria
Functional: PBE-GGA
Structure: relaxed

Cell lengths 6.5014, 11.7892, 11.7892 Å; angles 130.85, 90.00, 90.00 degrees
With the nearest neighbours (Å) after each atom.
Atoms (fractional coordinates):
Tb 0.9840 0.7034 0.9594  2 Tb 3.31-3.48, 5 Pm 3.34-3.67, 1 Pr 3.56
Pm 0.3307 0.1082 0.5436  3 Tb 3.34-3.72, 3 Pm 3.41-3.66, 1 Pr 3.64
Pm 0.8039 0.3005 0.6995  1 Tb 3.18, 1 Pr 3.36, 2 Pm 3.54
Pm 0.0770 0.7382 0.6196  3 Tb 3.38-3.60, 5 Pm 3.51-3.78
Pm 0.3307 0.4564 0.8918  3 Tb 3.34-3.72, 3 Pm 3.41-3.66, 1 Pr 3.64
Pm 0.0770 0.3804 0.2618  3 Tb 3.38-3.60, 5 Pm 3.51-3.78
Tb 0.9840 0.0406 0.2966  2 Tb 3.31-3.48, 5 Pm 3.34-3.67, 1 Pr 3.56
Tb 0.4840 0.9594 0.7034  2 Tb 3.31-3.48, 5 Pm 3.34-3.67, 1 Pr 3.56
Pm 0.2919 0.9865 0.0135  2 Pm 3.30, 1 Pr 3.38, 4 Tb 3.57-3.67
Pm 0.8307 0.8918 0.4564  3 Tb 3.34-3.72, 3 Pm 3.41-3.66, 1 Pr 3.64
Pm 0.5770 0.6196 0.7382  3 Tb 3.38-3.60, 5 Pm 3.51-3.78
Tb 0.4840 0.2966 0.0406  2 Tb 3.31-3.48, 5 Pm 3.34-3.67, 1 Pr 3.56
Tb 0.0979 0.4191 0.5809  3 Pm 3.18-3.48, 2 Tb 3.48
Pr 0.0084 0.1566 0.8434  4 Pm 3.36-3.64, 2 Tb 3.56
Tb 0.5979 0.5809 0.4191  3 Pm 3.18-3.48, 2 Tb 3.48
Pm 0.5770 0.2618 0.3804  3 Tb 3.38-3.60, 5 Pm 3.51-3.78
Pm 0.7919 0.0135 0.9865  2 Pm 3.30, 1 Pr 3.38, 4 Tb 3.57-3.67
Pm 0.3039 0.6995 0.3005  1 Tb 3.18, 1 Pr 3.36, 2 Pm 3.54
Pr 0.5084 0.8434 0.1566  4 Pm 3.36-3.64, 2 Tb 3.56
Pm 0.8307 0.5436 0.1082  3 Tb 3.34-3.72, 3 Pm 3.41-3.66, 1 Pr 3.64

Values from the calculation:
ρ, g/cm3: 7.23
DOS(E_F), states/eV per cell: 29.6
Symmetry: Cmc2_1


Stability verdict: entry b, ahead by 19 meV/atom


Entry a
Compound: Tb3Pm2Pr7
Source: Alexandria
Functional: PBE-GGA
Structure: relaxed

Cell lengths 3.6206, 6.5682, 17.7243 Å; angles 90.29, 90.00, 90.00 degrees
With the nearest neighbours (Å) after each atom.
Atoms (fractional coordinates):
Pm 0.5000 0.5122 0.3301  5 Pr 3.43-3.61, 2 Pm 3.62, 4 Tb 3.68-3.83
Tb 0.0000 0.9999 0.6593  2 Tb 3.62, 7 Pr 3.63-3.79, 4 Pm 3.68-3.83
Pm 0.5000 0.4878 0.6699  5 Pr 3.43-3.61, 2 Pm 3.62, 4 Tb 3.68-3.83
Pr 0.0000 0.0000 0.0000  8 Pr 3.62-3.69, 4 Tb 3.75
Pr 0.5000 0.2409 0.4948  2 Pr 3.17-3.41, 2 Pm 3.43-3.49
Pr 0.5000 0.8230 0.8304  1 Pm 3.59, 8 Pr 3.62-3.76, 3 Tb 3.69-3.72
Pr 0.5000 0.7591 0.5052  2 Pr 3.17-3.41, 2 Pm 3.43-3.49
Tb 0.5000 0.5000 0.0000  2 Tb 3.62, 10 Pr 3.64-3.75
Pr 0.5000 0.1770 0.1696  1 Pm 3.59, 8 Pr 3.62-3.76, 3 Tb 3.69-3.72
Tb 0.0000 0.0001 0.3407  2 Tb 3.62, 7 Pr 3.63-3.79, 4 Pm 3.68-3.83
Pr 0.0000 0.3209 0.8343  2 Pm 3.61, 7 Pr 3.62-3.76, 3 Tb 3.64-3.74
Pr 0.0000 0.6791 0.1657  2 Pm 3.61, 7 Pr 3.62-3.76, 3 Tb 3.64-3.74

Values from the calculation:
ρ, g/cm3: 6.91
DOS(E_F), states/eV per cell: 17.5
Symmetry: P2/m


Entry b
Compound: Tb3Pm2Pr7
Source: Alexandria
Functional: PBE-GGA
Structure: relaxed

Cell lengths 3.6623, 5.9831, 19.3104 Å; angles 93.56, 90.00, 90.00 degrees
With the nearest neighbours (Å) after each atom.
Atoms (fractional coordinates):
Tb 0.0000 0.2149 0.3680  2 Tb 3.66, 8 Pr 3.71-4.03, 4 Pm 3.75-3.77
Pr 0.0000 0.3267 0.8556  2 Tb 3.44, 2 Pm 3.47, 7 Pr 3.50-3.66
Pr 0.0000 0.0000 0.0000  4 Pr 3.50-3.66, 4 Tb 3.51
Pr 0.0000 0.6733 0.1444  2 Tb 3.44, 2 Pm 3.47, 7 Pr 3.50-3.66
Tb 0.5000 0.5000 0.0000  8 Pr 3.44-3.51, 2 Tb 3.66
Pm 0.5000 0.7033 0.2976  3 Pr 3.22-3.47
Pr 0.5000 0.7420 0.4645  1 Pm 3.22, 2 Pr 3.28-3.30
Pr 0.5000 0.1764 0.1818  6 Pr 3.56-3.66, 2 Pm 3.71-3.75
Pr 0.5000 0.2580 0.5355  1 Pm 3.22, 2 Pr 3.28-3.30
Pm 0.5000 0.2967 0.7024  3 Pr 3.22-3.47
Pr 0.5000 0.8236 0.8182  6 Pr 3.56-3.66, 2 Pm 3.71-3.75
Tb 0.0000 0.7851 0.6320  2 Tb 3.66, 8 Pr 3.71-4.03, 4 Pm 3.75-3.77

Values from the calculation:
ρ, g/cm3: 6.89
DOS(E_F), states/eV per cell: 17.8
Symmetry: P2/m


Stability verdict: entry a, ahead by 18 meV/atom


Entry a
Compound: Tb4Pm2Pr
Source: Alexandria
Functional: PBE-GGA
Structure: relaxed

Cell lengths 4.5825, 4.5825, 11.8658 Å; angles 101.13, 101.13, 90.00 degrees
With the nearest neighbours (Å) after each atom.
Atoms (fractional coordinates):
Tb 0.1401 0.1401 0.2802  1 Pr 3.20, 4 Pm 3.38, 4 Tb 3.40
Tb 0.2500 0.7500 0.5000  8 Tb 3.24-3.40
Tb 0.7500 0.2500 0.5000  8 Tb 3.24-3.40
Pr 0.0000 0.0000 0.0000  2 Tb 3.20
Pm 0.5985 0.5985 0.1969  4 Tb 3.38
Tb 0.8599 0.8599 0.7198  1 Pr 3.20, 4 Pm 3.38, 4 Tb 3.40
Pm 0.4015 0.4015 0.8031  4 Tb 3.38

Values from the calculation:
ρ, g/cm3: 7.39
DOS(E_F), states/eV per cell: 10.6
Symmetry: I4/mmm


Entry b
Compound: Tb4Pm2Pr
Source: Alexandria
Functional: PBE-GGA
Structure: relaxed

Cell lengths 8.1618, 7.8136, 7.8109 Å; angles 90.02, 90.24, 90.01 degrees
With the nearest neighbours (Å) after each atom.
Atoms (fractional coordinates):
Pm 0.5000 0.0000 0.5000  8 Tb 3.27-3.28
Pr 0.0000 0.5000 0.0000  8 Tb 3.59-3.60, 4 Pm 3.91
Tb 0.2808 0.2467 0.7510  4 Pm 3.28-3.60, 2 Pr 3.30-3.60, 1 Tb 3.58
Pm 0.0000 0.0000 0.0000  8 Tb 3.57-3.58, 2 Pm 3.91, 2 Pr 3.91
Pm 0.0000 0.5000 0.5000  8 Tb 3.59-3.60, 2 Pr 3.91, 2 Pm 3.91
Tb 0.2808 0.7516 0.2512  4 Pm 3.27-3.60, 2 Pr 3.31-3.59, 1 Tb 3.58
Pr 0.5000 0.5000 0.0000  8 Tb 3.30-3.31
Tb 0.2808 0.7535 0.7511  4 Pm 3.28-3.60, 2 Pr 3.30-3.60, 1 Tb 3.58
Tb 0.7192 0.2465 0.2489  4 Pm 3.28-3.60, 2 Pr 3.30-3.60, 1 Tb 3.58
Tb 0.7192 0.2484 0.7488  4 Pm 3.27-3.60, 2 Pr 3.31-3.59, 1 Tb 3.58
Tb 0.7192 0.7533 0.2490  4 Pm 3.28-3.60, 2 Pr 3.30-3.60, 1 Tb 3.58
Pm 0.0000 0.0000 0.5000  8 Tb 3.57-3.58, 4 Pm 3.91
Tb 0.2807 0.2486 0.2514  4 Pm 3.27-3.59, 2 Pr 3.31-3.60, 1 Tb 3.58
Tb 0.7193 0.7514 0.7486  4 Pm 3.27-3.59, 2 Pr 3.31-3.60, 1 Tb 3.58

Values from the calculation:
ρ, g/cm3: 7.11
DOS(E_F), states/eV per cell: 25.9
Symmetry: P2/m


Stability verdict: entry a, ahead by 67 meV/atom


Entry a
Compound: Tb3Pm2Pr3
Source: Alexandria
Functional: PBE-GGA
Structure: relaxed

Cell lengths 5.1375, 5.1494, 10.9294 Å; angles 103.63, 103.59, 90.00 degrees
With the nearest neighbours (Å) after each atom.
Atoms (fractional coordinates):
Tb 0.0000 0.5000 0.0000  8 Pr 3.63-3.64, 4 Tb 3.65
Pr 0.6243 0.6243 0.2485  6 Tb 3.63-3.64, 2 Pr 3.63, 4 Pm 3.65
Pm 0.2504 0.7504 0.5008  4 Tb 3.63-3.64, 4 Pm 3.64, 4 Pr 3.65
Pr 0.3757 0.3757 0.7515  6 Tb 3.63-3.64, 2 Pr 3.63, 4 Pm 3.65
Tb 0.1253 0.1253 0.2506  4 Pm 3.63-3.64, 6 Pr 3.64, 2 Tb 3.65
Pr 0.5000 0.0000 0.0000  4 Pr 3.63, 8 Tb 3.64
Pm 0.7496 0.2496 0.4992  4 Tb 3.63-3.64, 4 Pm 3.64, 4 Pr 3.65
Tb 0.8747 0.8747 0.7494  4 Pm 3.63-3.64, 6 Pr 3.64, 2 Tb 3.65

Values from the calculation:
ρ, g/cm3: 7.24
DOS(E_F), states/eV per cell: 12.5
Symmetry: Immm


Entry b
Compound: Tb3Pm2Pr3
Source: Alexandria
Functional: PBE-GGA
Structure: relaxed

Cell lengths 3.5749, 8.7400, 18.0392 Å; angles 90.00, 90.00, 101.80 degrees
With the nearest neighbours (Å) after each atom.
Atoms (fractional coordinates):
Pm 0.7231 0.4462 0.6505  4 Pr 3.24-3.57, 3 Pm 3.57-3.59
Pm 0.2769 0.5538 0.3495  4 Pr 3.24-3.57, 3 Pm 3.57-3.59
Tb 0.3750 0.7500 0.7500  1 Pr 3.26, 2 Tb 3.57, 4 Pm 3.63
Pr 0.5655 0.1310 0.7500  2 Pm 3.24, 5 Tb 3.26-3.40, 2 Pr 3.57
Tb 0.9838 0.9677 0.0967  6 Pr 3.40-3.68, 3 Tb 3.53-3.57
Pr 0.6511 0.3022 0.4723  3 Pm 3.44-3.57, 2 Pr 3.57, 4 Tb 3.60-3.68
Pm 0.7231 0.4462 0.8495  4 Pr 3.24-3.57, 3 Pm 3.57-3.59
Tb 0.0162 0.0323 0.5967  6 Pr 3.40-3.68, 3 Tb 3.53-3.57
Tb 0.6250 0.2500 0.2500  1 Pr 3.26, 2 Tb 3.57, 4 Pm 3.63
Pr 0.4345 0.8690 0.2500  2 Pm 3.24, 5 Tb 3.26-3.40, 2 Pr 3.57
Pr 0.6511 0.3022 0.0277  3 Pm 3.44-3.57, 2 Pr 3.57, 4 Tb 3.60-3.68
Tb 0.0162 0.0323 0.9033  6 Pr 3.40-3.68, 3 Tb 3.53-3.57
Tb 0.9838 0.9677 0.4033  6 Pr 3.40-3.68, 3 Tb 3.53-3.57
Pr 0.3489 0.6978 0.9723  3 Pm 3.44-3.57, 2 Pr 3.57, 4 Tb 3.60-3.68
Pm 0.2769 0.5538 0.1505  4 Pr 3.24-3.57, 3 Pm 3.57-3.59
Pr 0.3489 0.6978 0.5277  3 Pm 3.44-3.57, 2 Pr 3.57, 4 Tb 3.60-3.68

Values from the calculation:
ρ, g/cm3: 7.16
DOS(E_F), states/eV per cell: 23.8
Symmetry: Cmcm


Stability verdict: entry a, ahead by 124 meV/atom


Entry a
Compound: TbPm7Pr4
Source: Alexandria
Functional: PBE-GGA
Structure: relaxed

Cell lengths 7.3802, 6.3848, 11.7546 Å; angles 79.56, 51.06, 90.01 degrees
With the nearest neighbours (Å) after each atom.
Atoms (fractional coordinates):
Tb 0.0000 0.0000 0.0000  10 Pm 3.62-3.69, 2 Pr 3.62
Pm 0.5000 0.0000 0.0000  6 Pm 3.63-3.70, 4 Pr 3.64, 2 Tb 3.69
Pr 0.5782 0.2771 0.6698  1 Tb 3.62, 8 Pm 3.63-3.72, 3 Pr 3.68-3.71
Pr 0.1681 0.2245 0.3315  8 Pm 3.64-3.70, 4 Pr 3.68-3.71
Pm 0.0819 0.2766 0.6703  5 Pm 3.62-3.69, 1 Tb 3.62, 6 Pr 3.66-3.72
Pm 0.7526 0.4997 0.9994  7 Pm 3.62-3.72, 3 Pr 3.63-3.64, 2 Tb 3.68
Pm 0.2474 0.5003 0.0006  7 Pm 3.62-3.72, 3 Pr 3.63-3.64, 2 Tb 3.68
Pm 0.9181 0.7234 0.3297  5 Pm 3.62-3.69, 1 Tb 3.62, 6 Pr 3.66-3.72
Pr 0.8319 0.7755 0.6685  8 Pm 3.64-3.70, 4 Pr 3.68-3.71
Pm 0.3310 0.7784 0.6689  6 Pm 3.62-3.69, 1 Tb 3.63, 5 Pr 3.67-3.69
Pr 0.4218 0.7229 0.3302  1 Tb 3.62, 8 Pm 3.63-3.72, 3 Pr 3.68-3.71
Pm 0.6690 0.2216 0.3311  6 Pm 3.62-3.69, 1 Tb 3.63, 5 Pr 3.67-3.69

Values from the calculation:
ρ, g/cm3: 6.89
DOS(E_F), states/eV per cell: 15.3
Symmetry: P-1


Entry b
Compound: TbPm7Pr4
Source: Alexandria
Functional: PBE-GGA
Structure: relaxed

Cell lengths 6.1057, 11.9403, 6.8279 Å; angles 83.79, 63.44, 75.19 degrees
With the nearest neighbours (Å) after each atom.
Atoms (fractional coordinates):
Pm 0.7883 0.9225 0.5010  4 Pm 3.17-3.54, 1 Tb 3.19, 4 Pr 3.40-3.48
Pm 0.2117 0.0775 0.4990  4 Pm 3.17-3.54, 1 Tb 3.19, 4 Pr 3.40-3.48
Pr 0.6408 0.2222 0.4962  7 Pm 3.46-3.79, 2 Pr 3.72
Pr 0.2288 0.3293 0.2131  5 Pm 3.37-3.71, 2 Pr 3.72
Pm 0.3690 0.4977 0.7644  2 Pm 3.23-3.32, 3 Pr 3.37-3.61
Tb 0.0000 0.0000 0.0000  4 Pm 3.05-3.19
Pm 0.9327 0.3149 0.8198  2 Pm 3.32-3.36, 1 Pr 3.71
Pr 0.3592 0.7778 0.5038  7 Pm 3.46-3.79, 2 Pr 3.72
Pm 0.6310 0.5023 0.2356  2 Pm 3.23-3.32, 3 Pr 3.37-3.61
Pm 0.5000 0.0000 0.0000  2 Tb 3.05, 2 Pm 3.17
Pm 0.0673 0.6851 0.1802  2 Pm 3.32-3.36, 1 Pr 3.71
Pr 0.7712 0.6707 0.7869  5 Pm 3.37-3.71, 2 Pr 3.72

Values from the calculation:
ρ, g/cm3: 6.70
DOS(E_F), states/eV per cell: 19.5
Symmetry: C2/m


Stability verdict: entry a, ahead by 225 meV/atom